# FeAsF3 (GGA+U, relaxed)
data_FeAsF3
_chemical_formula_sum 'Fe1 As1 F3'
_cell_length_a 4.3232
_cell_length_b 4.3232
_cell_length_c 4.3232
_cell_angle_alpha 90.00
_cell_angle_beta 90.00
_cell_angle_gamma 90.00
_space_group_name_H-M_alt 'P m -3 m'
_space_group_IT_number 221
_space_group_name_Hall '-P 4 2 3'
loop_
_atom_site_label
_atom_site_type_symbol
_atom_site_fract_x
_atom_site_fract_y
_atom_site_fract_z
Fe1 Fe 0.0000 0.0000 0.0000
As1 As 0.5000 0.5000 0.5000
F1 F 0.0000 0.5000 0.5000
# * size of the total moment: 3.79 μB per formula unit
# * ΔE to the lowest computed polymorph: 0 kJ/mol of formula units
# * raw total energy: -4.019 eV per atom